Compound: Sr2AlCu2BiO7
Source: Alexandria via LeMat-Bulk
Functional: PBE
Structure: relaxed

```
data_Sr2AlCu2BiO7
_chemical_formula_sum 'Sr8 Al4 Cu8 Bi4 O28'
_symmetry_space_group_name_H-M 'I m a 2'
_symmetry_Int_Tables_number 46
_symmetry_space_group_name_Hall 'I 2 -2a'
_cell_length_a 24.968
_cell_length_b 5.318
_cell_length_c 5.288
_cell_angle_alpha 90.00
_cell_angle_beta 90.00
_cell_angle_gamma 90.00
loop_
_atom_site_label
_atom_site_fract_x
_atom_site_fract_y
_atom_site_fract_z
Sr1 0.138 0.003 0.000
Al1 0.000 0.000 0.998
Cu1 0.055 0.000 0.498
Bi1 0.250 0.008 0.481
O1 0.051 0.177 0.821
O2 0.051 0.677 0.674
O3 0.158 0.004 0.495
O4 0.250 0.083 0.064
```

Computed properties:
Raw formation energy, kJ/mol of atoms: -174.8
M_tot, μB/atom: 0.000